# 1
NaMg2GaIr | the Alexandria database | PBE-GGA | optimized geometry; calculated formation energy = -0.23 eV/atom; SG = P4/mmm (123); crystal system = tetragonal; N(E_F) = 1.4 states/eV per cell; total DFT energy (no corrections) = -17.55 eV/cell
1.0
5.057 0.000 0.000
0.000 5.057 0.000
0.000 0.000 4.803
Na Mg Ga Ir
1 2 1 1
Direct
0.000 0.000 0.000
0.000 0.500 0.500
0.500 0.000 0.500
0.500 0.500 0.000
0.500 0.500 0.500

# 2
FePdPb2 | the Alexandria database | PBE-GGA | optimized geometry; calculated formation energy = 0.45 eV/atom; SG = Fm-3m (225); crystal system = cubic; N(E_F) = 7.0 states/eV per cell; total DFT energy (no corrections) = -19.27 eV/cell
1.0
0.000 3.384 3.384
3.384 0.000 3.384
3.384 3.384 0.000
Fe Pd Pb
1 1 2
Direct
0.000 0.000 0.000
0.500 0.500 0.500
0.250 0.250 0.250
0.750 0.750 0.750